A plane-wave DFT calculation with GGA-PBE was carried out for Co4MoBr after structural relaxation.

The structure in POSCAR format:
```
Co4MoBr
1.0
-2.610 -3.732 1.566
-4.773 0.430 0.474
-2.940 -2.321 -3.027
Co Mo Br
4 1 1
Direct
0.376 0.376 0.873 Co
0.376 0.376 0.376 Co
0.376 0.873 0.376 Co
0.873 0.376 0.376 Co
0.750 0.750 0.750 Mo
0.000 0.000 0.000 Br
```

Values from the calculation:
- Formation energy without anion corrections: 693 meV per atom
- E: -6.13 eV/atom
- Volume: 13.16 Å³ per atom
- SG: No. 216

=====

A plane-wave DFT calculation with GGA-PBE was carried out for CoMo2Br after structural relaxation.

The structure in POSCAR format:
```
CoMo2Br
1.0
3.118 0.000 0.000
0.000 3.312 -0.036
0.000 0.080 7.021
Mo Br Co
2 1 1
Direct
0.000 0.251 0.581 Mo
0.000 0.249 0.919 Mo
0.500 0.250 0.250 Br
0.500 0.750 0.750 Co
```

Values from the calculation:
- Formation energy without anion corrections: 500 meV per atom
- E: -7.11 eV/atom
- Volume: 18.13 Å³ per atom
- SG: No. 47

=====

A plane-wave DFT calculation with GGA-PBE was carried out for CoMo2Br after structural relaxation.

The structure in POSCAR format:
```
CoMo2Br
1.0
2.981 0.037 0.000
-0.037 2.981 0.000
0.000 0.000 6.785
Co Mo Br
1 2 1
Direct
0.500 0.500 0.750 Co
0.000 0.000 0.977 Mo
0.000 0.000 0.523 Mo
0.500 0.500 0.250 Br
```

Values from the calculation:
- Formation energy without anion corrections: 587 meV per atom
- E: -7.02 eV/atom
- Volume: 15.08 Å³ per atom
- SG: No. 123

=====

> Which of these has the lowest volume?

Co4MoBr

=====

> Which of these has the highest E?

Co4MoBr

=====

> Number 1 is which compound?

Co4MoBr

=====

Please write out number 1 again, unchanged.
A plane-wave DFT calculation with GGA-PBE was carried out for Co4MoBr after structural relaxation.

The structure in POSCAR format:
```
Co4MoBr
1.0
-2.610 -3.732 1.566
-4.773 0.430 0.474
-2.940 -2.321 -3.027
Co Mo Br
4 1 1
Direct
0.376 0.376 0.873 Co
0.376 0.376 0.376 Co
0.376 0.873 0.376 Co
0.873 0.376 0.376 Co
0.750 0.750 0.750 Mo
0.000 0.000 0.000 Br
```

Values from the calculation:
- Formation energy without anion corrections: 693 meV per atom
- E: -6.13 eV/atom
- Volume: 13.16 Å³ per atom
- SG: No. 216